The following is a PBE-GGA calculation of a relaxed ZrReIO2 crystal, from Alexandria.

Cell and atoms, written as POSCAR:
```
ZrReIO2
1.0
4.084 0.000 0.000
0.000 4.084 0.000
0.000 0.000 6.263
Zr Re I O
1 1 1 2
Cartesian
0.000 0.000 0.000
2.042 2.042 3.132
0.000 0.000 3.132
0.000 2.042 0.000
2.042 0.000 0.000
```

Output
* crystal system: tetragonal
* distance to the lowest polymorph of the same formula: 0 meV/atom
* magnetization: 3.79 μB/f.u.
* energy relative to the elements, uncorrected: -0.45 eV/atom